Computed, not measured: a geometry-optimized La4Ga16Co3 structure at the PBE level of DFT.

Cell and atoms, written as extended XYZ:
```
23
Lattice="6.198 0.000 0.000 0.000 6.198 0.000 0.000 0.000 11.468" Properties=species:S:1:pos:R:3 pbc="T T T"
La 3.099 0.000 9.209
La 0.000 3.099 2.259
La 0.000 3.099 9.209
La 3.099 0.000 2.259
Ga 0.000 0.000 8.940
Ga 1.739 1.739 0.000
Ga 3.099 3.099 9.279
Ga 4.459 1.739 0.000
Ga 3.099 3.099 2.188
Ga 4.459 4.459 0.000
Ga 0.000 0.000 2.528
Ga 4.661 4.661 7.008
Ga 4.661 1.537 4.460
Ga 1.537 1.537 7.008
Ga 1.537 4.661 4.460
Ga 1.739 4.459 0.000
Ga 4.661 4.661 4.460
Ga 4.661 1.537 7.008
Ga 1.537 1.537 4.460
Ga 1.537 4.661 7.008
Co 0.000 3.099 5.734
Co 0.000 0.000 0.000
Co 3.099 0.000 5.734
```

VASP energy   -4.38 eV/atom
SG   P4/mmm
DOS at the Fermi energy   7.19 states/eV/cell